Rb4Pu3ScSe8 after structural relaxation. Source: the Alexandria database, functional PBE.

Output
The total magnetization is 15.0 μB per cell. As for the space-group type: R-3m. The calculation puts the energy relative to the elements, uncorrected at -1470 meV per atom. The value obtained for the density of states at the Fermi level is 33.1 states/eV/cell. As for the calculated total energy: -104.592 eV per cell.

Cell and atoms, written as POSCAR:
```
Rb4Pu3ScSe8
1.0
4.253 2.455 7.943
-4.253 2.455 7.943
0.000 -4.910 7.943
Rb Pu Sc Se
4 3 1 8
Direct
0.000 0.000 0.000 Rb
0.000 0.500 0.500 Rb
0.500 0.000 0.500 Rb
0.500 0.500 0.000 Rb
0.000 0.000 0.500 Pu
0.000 0.500 0.000 Pu
0.500 0.000 0.000 Pu
0.500 0.500 0.500 Sc
0.232 0.232 0.232 Se
0.244 0.724 0.724 Se
0.276 0.276 0.756 Se
0.276 0.756 0.276 Se
0.724 0.244 0.724 Se
0.724 0.724 0.244 Se
0.756 0.276 0.276 Se
0.768 0.768 0.768 Se
```